Record 1
Material: MgAg2As
Method: DFT, SCAN
State: single point on PBEsol structure

Cell: 3.2234 3.8643 5.6645 Å, 90.00 90.00 90.00°
Element x y z (fractional)
Ag  0.0000  0.0000  0.7481
Ag  0.0000  0.0000  0.2519
As  0.5000  0.5000  0.0000
Mg  0.5000  0.5000  0.5000

Results
The space-group type is Pmmm, No. 47. The value obtained for the energy of formation is -0.091 eV/atom.

=====

Record 2
Material: MnAg4As
Method: DFT, SCAN
State: single point on PBEsol structure

Cell: 5.3410 5.3410 5.3410 Å, 60.00 60.00 60.00°
Element x y z (fractional)
Ag  0.3747  0.3747  0.3747
Ag  0.3747  0.3747  0.8758
Ag  0.8758  0.3747  0.3747
Ag  0.3747  0.8758  0.3747
As  0.7500  0.7500  0.7500
Mn  0.0000  0.0000  0.0000

Results
The space-group type is F-43m, No. 216. The value obtained for the energy of formation is 0.217 eV/atom.

=====

Record 3
Material: MnAgAs
Method: DFT, SCAN
State: single point on PBEsol structure

Cell: 2.8986 2.8986 6.5271 Å, 90.00 90.00 120.00°
Element x y z (fractional)
Ag  0.0000  0.0000  0.0167
As  0.3333  0.6667  0.6350
Mn  0.6667  0.3333  0.3483

Results
The space-group type is P3m1, No. 156. The value obtained for the energy of formation is 0.032 eV/atom. The calculation puts the distance to the lowest polymorph of the same formula at 122.4 meV/atom.

=====

Record 4
Material: MnAg2As
Method: DFT, SCAN
State: single point on PBEsol structure

Cell: 2.8801 4.6605 4.8822 Å, 90.00 90.00 91.16°
Element x y z (fractional)
Ag  0.2372  0.2465  0.0000
Ag  0.7628  0.7535  0.0000
As  0.0000  0.5000  0.5000
Mn  0.5000  0.0000  0.5000

Results
The space-group type is P2/m, No. 10. The value obtained for the energy of formation is 0.005 eV/atom.

=====

> Among the records above, which one has the highest energy of formation?

MnAg4As

=====

> What is the energy of formation in the second record?

0.217 eV/atom